1.
Material: Dy5Cd6Ag
Method: DFT, PBE-GGA
State: relaxed

Cell lengths 5.1620, 7.4793, 15.5521 Å; angles 90.00, 90.00, 90.00 degrees
Closest atoms and distances in Å follow each position.
Space group Immm (No. 71)
Asymmetric unit:
1 Dy 0.0000 0.0000 0.0000 (multiplicity 2)  8 Cd 3.16-3.26
2 Dy 0.0000 0.0000 0.3300 (multiplicity 4)  8 Cd 3.13-3.33
3 Dy 0.0000 0.5000 0.3335 (multiplicity 4)  8 Cd 3.25-3.27, 2 Dy 3.62
4 Cd 0.0000 0.2327 0.5000 (multiplicity 4)  2 Ag 3.11, 6 Dy 3.16-3.27, 1 Cd 3.48
5 Cd 0.0000 0.2651 0.1580 (multiplicity 8)  1 Ag 3.02, 7 Dy 3.13-3.33
6 Ag 0.0000 0.5000 0.0000 (multiplicity 2)  8 Cd 3.02-3.11

- N(E_F) (states/eV/f.u.) = 10.15
- formation energy from the elements (eV/atom) = -0.27



2.
Material: Dy3Cd7Ag
Method: DFT, PBE-GGA
State: relaxed

Cell lengths 3.5335, 23.5114, 13.4237 Å; angles 90.00, 90.00, 90.00 degrees
Closest atoms and distances in Å follow each position.
Space group Cmcm (No. 63)
Asymmetric unit:
1 Dy 0.0000 0.0946 0.0418 (multiplicity 8)  10 Cd 3.15-3.39
2 Dy 0.0000 0.2500 0.7500 (multiplicity 4)  6 Cd 3.05-3.36
3 Cd 0.0000 0.2946 0.5365 (multiplicity 8)  3 Cd 2.82-2.91, 3 Dy 3.05-3.15
4 Cd 0.0000 0.3558 0.1445 (multiplicity 8)  2 Cd 2.82-2.83, 2 Ag 2.93
5 Cd 0.0000 0.3955 0.7500 (multiplicity 4)  4 Cd 3.25-3.53, 5 Dy 3.31-3.42
6 Cd 0.0000 0.4901 0.1141 (multiplicity 8)  2 Ag 2.85, 2 Cd 3.10-3.18, 2 Dy 3.18
7 Ag 0.0000 0.0652 0.7500 (multiplicity 4)  8 Cd 2.85-2.93

- N(E_F) (states/eV/f.u.) = 8.37
- formation energy from the elements (eV/atom) = -0.10



no.,E (eV per atom),magnetization (μB/cell)
1,-2.8792,0.0
2,-2.1995,0.0